First-principles (PBE+U) data for a relaxed Ni2OF crystal, as listed in Alexandria.

Lattice parameters (Å, degrees): 5.5243 5.5243 5.7224 90.00 90.00 90.00
Closest atoms and distances in Å follow each position.
Space group I-42d (No. 122)
One atom of each set of equivalent atoms:
1 Ni 0.2243 0.2500 0.1250  2 O 1.99, 2 F 2.18
2 O 0.0000 0.0000 0.0000  4 Ni 1.99
3 F 0.0000 0.0000 0.5000  4 Ni 2.18

Properties
Polymorph energy (0 for the lowest one) (meV per atom): 0.0
Calculated total energy (eV/atom): -3.79